4
Lattice="0.000 3.343 3.343 3.343 0.000 3.343 3.343 3.343 0.000" Properties=species:S:1:pos:R:3 comment="PBE ZrURuRh, optimized geometry" final_energy_ev_per_atom=-9.516 spacegroup="F-43m (216)" crystal_system=cubic pbc="T T T"
Zr 0.000 0.000 0.000
U 3.343 3.343 3.343
Ru 1.671 1.671 1.671
Rh 5.014 5.014 5.014


5
Lattice="2.211 -3.661 0.000 2.211 3.661 0.000 0.000 0.000 4.821" Properties=species:S:1:pos:R:3 comment="PBE V2RuRh2, optimized geometry" final_energy_ev_per_atom=-8.151 spacegroup="Cmmm (65)" e_above_lowest_polymorph_mev_per_atom=393 crystal_system=orthorhombic pbc="T T T"
V 0.000 0.000 1.173
V 0.000 0.000 3.648
Ru 2.211 0.000 2.410
Rh 2.211 1.253 0.000
Rh 2.211 -1.253 0.000


11
Lattice="6.908 -1.913 0.000 6.908 1.913 0.000 -1.568 0.000 5.835" Properties=species:S:1:pos:R:3 comment="PBE VRu2Rh8, optimized geometry" final_energy_ev_per_atom=-7.970 spacegroup="C2/m (12)" crystal_system=monoclinic pbc="T T T"
V 0.000 0.000 0.000
Ru 3.212 0.000 2.152
Ru 9.035 0.000 3.682
Rh 0.582 0.000 2.618
Rh 1.064 0.000 5.339
Rh 3.766 0.000 4.768
Rh 5.854 0.000 1.560
Rh 6.394 0.000 4.275
Rh 8.481 0.000 1.067
Rh 11.184 0.000 0.496
Rh 11.665 0.000 3.217


8
Lattice="5.404 0.000 0.000 0.000 5.404 0.000 0.000 0.000 3.831" Properties=species:S:1:pos:R:3 comment="PBE VRuRh6, optimized geometry" final_energy_ev_per_atom=-7.958 spacegroup="P4/mmm (123)" e_above_lowest_polymorph_mev_per_atom=0 crystal_system=tetragonal pbc="T T T"
V 0.000 0.000 0.000
Ru 2.702 2.702 0.000
Rh 0.000 2.702 0.000
Rh 1.342 1.342 1.915
Rh 1.342 4.062 1.915
Rh 2.702 0.000 0.000
Rh 4.062 1.342 1.915
Rh 4.062 4.062 1.915


no.,ΔH_f (0 K) (eV per atom)
1,-0.400
2,0.292
3,-0.108
4,-0.145